(1)
Computed, not measured: a relaxed Sm2Er6Tm3Pu crystal at the PBE level of DFT.

The space group is C2/m (No. 12) and the conventional cell measures 6.088, 10.550 and 11.602 Å, with angles of 90.00, 100.12 and 90.00 degrees. The asymmetric unit holds Sm at (0.000, 0.167, 0.000), Er at (0.246, 0.500, 0.749), Er at (0.248, 0.335, 0.251), Tm at (0.000, 0.000, 0.500), Tm at (0.000, 0.333, 0.500) and Pu at (0.000, 0.500, 0.000).

The value obtained for the calculated total energy is -5.3317 eV per atom.

***

(2)
Computed, not measured: a relaxed Sm3Er2Tm6Pu crystal at the PBE level of DFT.

The space group is C2/m (No. 12) and the conventional cell measures 6.095, 10.555 and 11.584 Å, with angles of 90.00, 100.11 and 90.00 degrees. The asymmetric unit holds Sm at (0.000, 0.000, 0.000), Sm at (0.000, 0.333, 0.000), Er at (0.000, 0.167, 0.500), Tm at (0.246, 0.335, 0.745), Tm at (0.248, 0.500, 0.254) and Pu at (0.000, 0.500, 0.500).

The value obtained for the calculated total energy is -5.3281 eV per atom.

***

(3)
Computed, not measured: a relaxed Sm2Er3Tm6Pu crystal at the PBE level of DFT.

The space group is C2/m (No. 12) and the conventional cell measures 6.079, 10.532 and 11.576 Å, with angles of 90.00, 100.12 and 90.00 degrees. The asymmetric unit holds Sm at (0.000, 0.167, 0.000), Er at (0.000, 0.000, 0.500), Er at (0.000, 0.333, 0.500), Tm at (0.246, 0.500, 0.749), Tm at (0.248, 0.335, 0.251) and Pu at (0.000, 0.500, 0.000).

The value obtained for the calculated total energy is -5.3094 eV per atom.

***

(4)
Computed, not measured: a relaxed SmErTmPu crystal at the PBE level of DFT.

The space group is F-43m (No. 216) and the conventional cell measures 7.888, 7.888 and 7.888 Å, with angles of 90.00, 90.00 and 90.00 degrees. The asymmetric unit holds Sm at (0.000, 0.000, 0.000), Er at (0.250, 0.250, 0.250), Tm at (0.250, 0.250, 0.750) and Pu at (0.000, 0.000, 0.500).

The value obtained for the calculated total energy is -6.8301 eV per atom.

***

(5)
Computed, not measured: a relaxed SmYErPu crystal at the PBE level of DFT.

The space group is F-43m (No. 216) and the conventional cell measures 7.944, 7.944 and 7.944 Å, with angles of 90.00, 90.00 and 90.00 degrees. The asymmetric unit holds Sm at (0.000, 0.000, 0.000), Y at (0.250, 0.250, 0.250), Er at (0.250, 0.250, 0.750) and Pu at (0.000, 0.000, 0.500).

The value obtained for the calculated total energy is -7.3149 eV per atom.

***

(6)
Computed, not measured: a relaxed Sm2Y6Er3Pu crystal at the PBE level of DFT.

The space group is C2/m (No. 12) and the conventional cell measures 6.157, 10.671 and 11.740 Å, with angles of 90.00, 100.11 and 90.00 degrees. The asymmetric unit holds Sm at (0.000, 0.167, 0.000), Y at (0.246, 0.500, 0.749), Y at (0.248, 0.335, 0.251), Er at (0.000, 0.000, 0.500), Er at (0.000, 0.333, 0.500) and Pu at (0.000, 0.500, 0.000).

The value obtained for the calculated total energy is -6.3012 eV per atom.

***

(7)
Computed, not measured: a relaxed Sm3Y2Er6Pu crystal at the PBE level of DFT.

The space group is C2/m (No. 12) and the conventional cell measures 6.133, 10.623 and 11.666 Å, with angles of 90.00, 100.11 and 90.00 degrees. The asymmetric unit holds Sm at (0.000, 0.000, 0.000), Sm at (0.000, 0.333, 0.000), Y at (0.000, 0.167, 0.500), Er at (0.247, 0.336, 0.747), Er at (0.247, 0.500, 0.253) and Pu at (0.000, 0.500, 0.500).

The value obtained for the calculated total energy is -5.6871 eV per atom.

***

(8)
Computed, not measured: a relaxed Sm2Y3Er6Pu crystal at the PBE level of DFT.

The space group is C2/m (No. 12) and the conventional cell measures 6.126, 10.616 and 11.670 Å, with angles of 90.00, 100.11 and 90.00 degrees. The asymmetric unit holds Sm at (0.000, 0.167, 0.000), Y at (0.000, 0.000, 0.500), Y at (0.000, 0.333, 0.500), Er at (0.246, 0.500, 0.751), Er at (0.247, 0.335, 0.249) and Pu at (0.000, 0.500, 0.000).

The value obtained for the calculated total energy is -5.8293 eV per atom.

***

(9)
Computed, not measured: a relaxed ErPu2Sn9 crystal at the PBE level of DFT.

The space group is P4/mmm (No. 123) and the conventional cell measures 4.693, 4.693 and 13.945 Å, with angles of 90.00, 90.00 and 90.00 degrees. The asymmetric unit holds Er at (0.000, 0.000, 0.000), Pu at (0.000, 0.000, 0.334), Sn at (0.000, 0.500, 0.167), Sn at (0.000, 0.500, 0.500), Sn at (0.500, 0.500, 0.000) and Sn at (0.500, 0.500, 0.333).

The value obtained for the calculated total energy is -6.1409 eV per atom.

***

(10)
Computed, not measured: a relaxed ErPu2Sn crystal at the PBE level of DFT.

The space group is P4/mmm (No. 123) and the conventional cell measures 4.543, 4.543 and 5.097 Å, with angles of 90.00, 90.00 and 90.00 degrees. The asymmetric unit holds Er at (0.000, 0.000, 0.000), Pu at (0.000, 0.500, 0.500) and Sn at (0.500, 0.500, 0.000).

As for the energy above the most stable polymorph in this dataset: 0 meV/atom.

***

(11)
Computed, not measured: a relaxed Er2PuSn crystal at the PBE level of DFT.

The space group is Fm-3m (No. 225) and the conventional cell measures 7.541, 7.541 and 7.541 Å, with angles of 90.00, 90.00 and 90.00 degrees. The asymmetric unit holds Er at (0.250, 0.250, 0.250), Pu at (0.000, 0.000, 0.000) and Sn at (0.000, 0.000, 0.500).

As for the energy above the most stable polymorph in this dataset: 156 meV/atom.

***

(12)
Computed, not measured: a relaxed Er2PuSn crystal at the PBE level of DFT.

The space group is R-3m (No. 166, hexagonal axes) and the conventional cell measures 3.4657, 3.4657 and 32.3030 Å, with angles of 90.00, 90.00 and 120.00 degrees. The asymmetric unit holds Er at (0.0000, 0.0000, 0.2468), Pu at (0.0000, 0.0000, 0.0000) and Sn at (0.0000, 0.0000, 0.5000).

As for the energy above the most stable polymorph in this dataset: 160 meV/atom.

***

(13)
Computed, not measured: a relaxed ErPu2Sn crystal at the PBE level of DFT.

The space group is Fm-3m (No. 225) and the conventional cell measures 7.573, 7.573 and 7.573 Å, with angles of 90.00, 90.00 and 90.00 degrees. The asymmetric unit holds Er at (0.000, 0.000, 0.000), Pu at (0.250, 0.250, 0.250) and Sn at (0.000, 0.000, 0.500).

As for the energy above the most stable polymorph in this dataset: 273 meV/atom.

***

(14)
Computed, not measured: a relaxed ErPu5Sn6 crystal at the PBE level of DFT.

The space group is Immm (No. 71) and the conventional cell measures 4.812, 8.997 and 14.459 Å, with angles of 90.00, 90.00 and 90.00 degrees. The asymmetric unit holds Er at (0.000, 0.000, 0.000), Pu at (0.000, 0.000, 0.329), Pu at (0.000, 0.500, 0.000), Pu at (0.000, 0.500, 0.330), Sn at (0.000, 0.249, 0.165) and Sn at (0.000, 0.251, 0.500).

The value obtained for the calculated total energy is -8.7410 eV per atom.

***

(15)
Computed, not measured: a relaxed Er2PuSn crystal at the PBE level of DFT.

The space group is P4/mmm (No. 123) and the conventional cell measures 4.841, 4.841 and 4.599 Å, with angles of 90.00, 90.00 and 90.00 degrees. The asymmetric unit holds Er at (0.000, 0.500, 0.000), Pu at (0.000, 0.000, 0.500) and Sn at (0.500, 0.500, 0.500).

As for the energy above the most stable polymorph in this dataset: 0 meV/atom.

***

(16)
Computed, not measured: a relaxed Er2PuSn crystal at the PBE level of DFT.

The space group is P4/mmm (No. 123) and the conventional cell measures 3.510, 3.510 and 8.977 Å, with angles of 90.00, 90.00 and 90.00 degrees. The asymmetric unit holds Er at (0.000, 0.000, 0.232), Pu at (0.500, 0.500, 0.500) and Sn at (0.500, 0.500, 0.000).

As for the energy above the most stable polymorph in this dataset: 88 meV/atom.

***

(17)
Computed, not measured: a relaxed ErTmPuSn crystal at the PBE level of DFT.

The space group is F-43m (No. 216) and the conventional cell measures 7.574, 7.574 and 7.574 Å, with angles of 90.00, 90.00 and 90.00 degrees. The asymmetric unit holds Er at (0.000, 0.000, 0.000), Tm at (0.250, 0.250, 0.750), Pu at (0.000, 0.000, 0.500) and Sn at (0.250, 0.250, 0.250).

The value obtained for the calculated total energy is -6.9715 eV per atom.

***

(18)
Computed, not measured: a relaxed SrErPu crystal at the PBE level of DFT.

The space group is C2/m (No. 12) and the conventional cell measures 5.994, 4.292 and 15.076 Å, with angles of 90.00, 94.94 and 90.00 degrees. The asymmetric unit holds Sr at (0.225, 0.000, 0.384), Er at (0.127, 0.500, 0.176) and Pu at (0.190, 0.000, 0.022).

The value obtained for the calculated total energy is -6.6725 eV per atom.

***

(19)
Computed, not measured: a relaxed ErPu2Ta crystal at the PBE level of DFT.

The space group is R-3m (No. 166, hexagonal axes) and the conventional cell measures 3.2434, 3.2434 and 32.3286 Å, with angles of 90.00, 90.00 and 120.00 degrees. The asymmetric unit holds Er at (0.0000, 0.0000, 0.0000), Pu at (0.0000, 0.0000, 0.2428) and Ta at (0.0000, 0.0000, 0.5000).

The value obtained for the calculated total energy is -10.9434 eV per atom.

***

(20)
Computed, not measured: a relaxed ErPuTa crystal at the PBE level of DFT.

The space group is R-3m (No. 166, hexagonal axes) and the conventional cell measures 3.2997, 3.2997 and 46.4675 Å, with angles of 90.00, 90.00 and 120.00 degrees. The asymmetric unit holds Er at (0.0000, 0.0000, 0.1355), Pu at (0.0000, 0.0000, 0.4070) and Ta at (0.0000, 0.0000, 0.3113).

The value obtained for the calculated total energy is -9.9300 eV per atom.

***

(21)
Computed, not measured: a relaxed Tb2ErPu crystal at the PBE level of DFT.

The space group is Fm-3m (No. 225) and the conventional cell measures 7.884, 7.884 and 7.884 Å, with angles of 90.00, 90.00 and 90.00 degrees. The asymmetric unit holds Tb at (0.250, 0.250, 0.250), Er at (0.000, 0.000, 0.000) and Pu at (0.000, 0.000, 0.500).

As for the energy above the most stable polymorph in this dataset: 99 meV/atom.

***

(22)
Computed, not measured: a relaxed Tb6Er5Pu crystal at the PBE level of DFT.

The space group is C2/m (No. 12) and the conventional cell measures 6.108, 10.578 and 11.641 Å, with angles of 90.00, 100.07 and 90.00 degrees. The asymmetric unit holds Tb at (0.247, 0.000, 0.252), Tb at (0.248, 0.165, 0.749), Er at (0.000, 0.167, 0.000), Er at (0.000, 0.333, 0.500), Er at (0.000, 0.500, 0.000) and Pu at (0.000, 0.000, 0.500).

The value obtained for the calculated total energy is -5.3683 eV per atom.

***

(23)
Computed, not measured: a relaxed TbEr4Pu crystal at the PBE level of DFT.

The space group is Cmc2_1 (No. 36) and the conventional cell measures 3.503, 18.215 and 11.331 Å, with angles of 90.00, 90.00 and 90.00 degrees. The asymmetric unit holds Tb at (0.000, 0.222, 0.000), Er at (0.000, 0.001, 0.754), Er at (0.000, 0.111, 0.507), Er at (0.000, 0.332, 0.753), Er at (0.000, 0.444, 0.502) and Pu at (0.000, 0.334, 0.252).

As for the energy above the most stable polymorph in this dataset: 0 meV/atom.

***

(24)
Computed, not measured: a relaxed Tb5Er6Pu2 crystal at the PBE level of DFT.

The space group is Pbam (No. 55) and the conventional cell measures 11.484, 20.101 and 3.512 Å, with angles of 90.00, 90.00 and 90.00 degrees. The asymmetric unit holds Tb at (0.000, 0.000, 0.000), Tb at (0.077, 0.272, 0.000), Tb at (0.197, 0.552, 0.000), Er at (0.063, 0.419, 0.500), Er at (0.083, 0.131, 0.500), Er at (0.173, 0.858, 0.000) and Pu at (0.173, 0.706, 0.500).

The value obtained for the calculated total energy is -5.9302 eV per atom.